Density functional theory data (PBE) for TaAg2N after structural relaxation.

Cell and atoms, written as CIF:
```
data_TaAg2N
_cell_length_a 8.288
_cell_length_b 8.288
_cell_length_c 4.044
_cell_angle_alpha 90.00
_cell_angle_beta 90.00
_cell_angle_gamma 90.00
_symmetry_space_group_name_H-M 'I -4 2 d'
_symmetry_Int_Tables_number 122
_symmetry_space_group_name_Hall 'I -4 2bw'
loop_
_atom_site_label
_atom_site_type_symbol
_atom_site_fract_x
_atom_site_fract_y
_atom_site_fract_z
Ta1 Ta 0.000 0.000 0.000
Ag1 Ag 0.145 0.750 0.625
N1 N 0.000 0.000 0.500
```

Computed properties:
* E: -5.901 eV per atom